DFT (PBE) results for an optimized crystal structure of CaCrBr2.

Cell and atoms, written as extended XYZ:
```
4
Lattice="6.779 0.121 0.015 5.345 4.171 0.015 0.537 0.190 5.034" Properties=species:S:1:pos:R:3 pbc="T T T"
Br 1.807 0.640 4.828
Br 5.060 1.791 2.737
Ca 9.496 3.362 3.798
Cr 3.165 1.121 1.266
```

distance to the lowest polymorph of the same formula = 0.000 eV/atom
E = -4.3868 eV/atom


DFT (PBE) results for an optimized crystal structure of CaCr2Br.

Cell and atoms, written as extended XYZ:
```
4
Lattice="4.232 0.105 -0.026 2.620 3.325 -0.026 -0.663 -0.332 7.215" Properties=species:S:1:pos:R:3 pbc="T T T"
Cr 3.875 1.940 6.065
Cr 5.906 2.956 6.739
Br 3.911 1.958 3.476
Ca 1.779 0.891 1.628
```

distance to the lowest polymorph of the same formula = 0.084 eV/atom
E = -5.6384 eV/atom


DFT (PBE) results for an optimized crystal structure of CaCr3Br.

Cell and atoms, written as extended XYZ:
```
5
Lattice="-1.791 -2.077 -5.006 4.409 -3.624 -0.074 -3.151 -3.890 2.741" Properties=species:S:1:pos:R:3 pbc="T T T"
Cr 2.205 -1.812 -0.037
Cr -0.896 -1.038 -2.503
Cr -1.575 -1.945 1.371
Br -0.266 -4.795 -1.169
Ca 0.000 0.000 0.000
```

distance to the lowest polymorph of the same formula = 0.818 eV/atom
E = -4.6406 eV/atom


DFT (PBE) results for an optimized crystal structure of CaCrBr3.

Cell and atoms, written as extended XYZ:
```
5
Lattice="5.267 0.000 0.000 0.000 5.267 0.000 0.000 0.000 5.267" Properties=species:S:1:pos:R:3 pbc="T T T"
Br 2.634 0.000 0.000
Br 0.000 0.000 2.634
Br 0.000 2.634 0.000
Cr 0.000 0.000 0.000
Ca 2.634 2.634 2.634
```

distance to the lowest polymorph of the same formula = 0.000 eV/atom
E = -4.1313 eV/atom


DFT (PBE) results for an optimized crystal structure of Cs2CaCrBr6.

Cell and atoms, written as extended XYZ:
```
10
Lattice="-5.353 -2.392 -3.655 4.314 -6.172 -2.281 -4.301 -0.421 6.575" Properties=species:S:1:pos:R:3 pbc="T T T"
Br -7.051 -3.189 2.335
Br -4.819 -2.970 -1.078
Br 1.711 -5.796 -1.695
Br -0.528 -2.593 -0.511
Br -0.521 -6.014 1.717
Br -4.812 -6.392 1.151
Cs -2.750 -6.128 -2.191
Cs -2.590 -2.857 2.830
Ca -2.677 -1.196 -1.827
Cr 0.000 0.000 0.000
```

distance to the lowest polymorph of the same formula = 0.000 eV/atom
E = -3.8722 eV/atom


DFT (PBE) results for an optimized crystal structure of Cs2CaCrBr6.

Cell and atoms, written as extended XYZ:
```
10
Lattice="-1.576 7.671 0.917 -2.189 0.454 -7.562 -7.120 2.815 -1.881" Properties=species:S:1:pos:R:3 pbc="T T T"
Br -2.861 6.175 -5.049
Br -4.606 3.414 -2.573
Br -6.278 7.527 -5.953
Br -2.042 2.187 -5.526
Br -1.723 5.939 -1.119
Br -0.904 1.951 -1.595
Cs -5.596 3.666 -6.383
Cs -5.289 7.275 -2.143
Ca -1.882 4.063 -3.322
Cr 0.000 0.000 0.000
```

distance to the lowest polymorph of the same formula = 0.024 eV/atom
E = -3.8484 eV/atom


DFT (PBE) results for an optimized crystal structure of CaCrHg2Br.

Cell and atoms, written as extended XYZ:
```
5
Lattice="-2.642 4.429 -1.241 -3.998 -2.134 0.895 0.285 1.586 5.053" Properties=species:S:1:pos:R:3 pbc="T T T"
Cr 0.000 0.000 0.000
Hg 0.142 0.793 2.527
Hg -1.321 2.214 -0.620
Ca -3.177 1.940 2.354
Br -1.999 -1.067 0.448
```

E = -2.6437 eV/atom


DFT (PBE) results for an optimized crystal structure of CaCrI2Br.

Cell and atoms, written as extended XYZ:
```
5
Lattice="5.708 0.000 0.000 0.000 5.148 0.000 0.000 0.000 5.708" Properties=species:S:1:pos:R:3 pbc="T T T"
Br 0.000 2.574 0.000
I 0.000 0.000 2.854
I 2.854 0.000 0.000
Ca 2.854 2.574 2.854
Cr 0.000 0.000 0.000
```

E = -3.8700 eV/atom


DFT (PBE) results for an optimized crystal structure of K2CaCrBr6.

Cell and atoms, written as extended XYZ:
```
20
Lattice="-5.530 0.900 5.390 -5.474 -0.938 -5.459 0.026 -10.840 1.836" Properties=species:S:1:pos:R:3 pbc="T T T"
Br -4.135 -0.263 -1.495
Br -4.124 -4.761 4.867
Br -6.756 -5.211 2.248
Br -1.465 -5.194 2.274
Br -4.116 -2.599 1.818
Br -6.999 0.203 1.296
Br -4.110 -3.309 -3.664
Br -9.631 -0.247 -1.323
Br -4.090 -5.645 -0.351
Br -4.103 -7.807 2.700
Br -6.761 -0.714 -4.120
Br -4.097 -8.941 -2.710
K -6.873 -8.415 -0.039
K -1.327 -8.333 0.029
K -1.340 -2.968 -0.879
K -6.886 -2.940 -0.967
Cr -4.113 -5.203 2.256
Cr -4.113 -0.705 -4.102
Ca -4.145 0.213 1.318
Ca -4.080 -6.121 -3.164
```

E = -3.8218 eV/atom


DFT (PBE) results for an optimized crystal structure of CaCrMoBr2.

Cell and atoms, written as extended XYZ:
```
5
Lattice="5.078 0.000 0.000 0.000 4.679 0.000 0.000 0.000 5.078" Properties=species:S:1:pos:R:3 pbc="T T T"
Br 2.539 0.000 0.000
Br 0.000 0.000 2.539
Mo 0.000 2.339 0.000
Cr 0.000 0.000 0.000
Ca 2.539 2.339 2.539
```

E = -4.6963 eV/atom


| no. | ρ (Mg/m³) | formation energy (no corrections) (eV/atom) |
| --- | --- | --- |
| 1 | 3.0 | -0.644 |
| 2 | 3.7 | 0.092 |
| 3 | 2.5 | 1.868 |
| 4 | 3.8 | -0.803 |
| 5 | 3.8 | -1.535 |
| 6 | 4.0 | -1.511 |
| 7 | 7.3 | 0.137 |
| 8 | 4.2 | -0.590 |
| 9 | 3.2 | -1.436 |
| 10 | 4.8 | 0.464 |